Entry from the Alexandria database: a PBEsol-optimized structure of Fe3P2O10 (SCAN).

total magnetization: 10.0 μB per formula unit
E: -11.120 eV per atom
raw formation energy: -1953 meV/atom

Unit cell a=7.350 b=7.157 c=7.031 alpha=90.00 beta=117.72 gamma=90.00
Space group P2_1/c (No. 14)
One atom of each set of equivalent atoms:
Fe 0.000 0.000 0.000 (multiplicity 2)
Fe 0.249 0.232 0.764 (multiplicity 4)
P 0.255 0.637 0.996 (multiplicity 4)
O 0.078 0.717 0.411 (multiplicity 4)
O 0.201 0.157 0.991 (multiplicity 4)
O 0.206 0.514 0.793 (multiplicity 4)
O 0.245 0.514 0.168 (multiplicity 4)
O 0.460 0.734 0.073 (multiplicity 4)

***

Entry from the Alexandria database: a PBEsol-optimized structure of SrTaPb2 (SCAN).

total magnetization: 1.7 μB per formula unit
energy of formation from the pure elements: 0.406 eV/atom
E: -59.699 eV per atom

Unit cell a=4.915 b=4.915 c=4.212 alpha=90.00 beta=90.00 gamma=90.00
Space group P4/mmm (No. 123)
One atom of each set of equivalent atoms:
Sr 0.000 0.000 0.000 (multiplicity 1)
Ta 0.500 0.500 0.000 (multiplicity 1)
Pb 0.000 0.500 0.500 (multiplicity 2)

***

Entry from the Alexandria database: a PBEsol-optimized structure of LiZrOs (SCAN).

total magnetization: 0.0 μB per formula unit
energy of formation from the pure elements: 0.203 eV/atom
E: -34.786 eV per atom

Unit cell a=3.207 b=4.670 c=13.728 alpha=90.00 beta=90.00 gamma=90.00
Space group Fmm2 (No. 42)
One atom of each set of equivalent atoms:
Li 0.000 0.000 0.000 (multiplicity 4)
Zr 0.000 0.000 0.301 (multiplicity 4)
Os 0.000 0.000 0.650 (multiplicity 4)

***

Entry from the Alexandria database: a PBEsol-optimized structure of NiHSN2 (SCAN).

total magnetization: 4.0 μB per formula unit
E: -7.975 eV per atom
offset from the most stable computed form: 0 meV/atom

Unit cell a=3.466 b=3.466 c=4.874 alpha=90.00 beta=90.00 gamma=90.00
Space group P4/mmm (No. 123)
One atom of each set of equivalent atoms:
Ni 0.000 0.000 0.000 (multiplicity 1)
H 0.500 0.500 0.500 (multiplicity 1)
S 0.000 0.000 0.500 (multiplicity 1)
N 0.000 0.500 0.000 (multiplicity 2)